Entry 1:
Density functional theory data (GGA-PBE) for a geometry-optimized Pr2Te2F structure.

Results
volume = 323.8 Å³/cell
ΔE_f (raw) = -1.960 eV per atom
energy above the lowest structure with this stoichiometry = 0.0 meV per atom

Unit cell a=4.325 b=4.325 c=17.578 alpha=97.07 beta=97.07 gamma=90.00
Atoms (fractional coordinates):
Pr 0.286 0.286 0.573
Pr 0.964 0.464 0.927
Pr 0.714 0.714 0.427
Pr 0.536 0.036 0.073
F 0.500 0.500 0.000
F 0.750 0.250 0.500
Te 0.432 0.932 0.864
Te 0.182 0.182 0.364
Te 0.068 0.568 0.136
Te 0.818 0.818 0.636

Entry 2:
Density functional theory data (GGA-PBE) for a geometry-optimized Pr2ThF structure.

Results
volume = 107.9 Å³/cell
ΔE_f (raw) = -1.157 eV per atom

Unit cell a=3.737 b=3.737 c=9.180 alpha=78.26 beta=78.26 gamma=60.00
Atoms (fractional coordinates):
Th 0.500 0.500 0.500
Pr 0.271 0.271 0.188
Pr 0.729 0.729 0.812
F 0.000 0.000 0.000

Entry 3:
Density functional theory data (GGA-PBE) for a geometry-optimized Pr3ThF structure.

Results
volume = 142.2 Å³/cell
ΔE_f (raw) = -0.927 eV per atom

Unit cell a=5.220 b=5.220 c=5.220 alpha=90.00 beta=90.00 gamma=90.00
Atoms (fractional coordinates):
Pr 0.000 0.000 0.500
Pr 0.500 0.000 0.000
Pr 0.000 0.500 0.000
F 0.000 0.000 0.000
Th 0.500 0.500 0.500